## Sc3C2 (PBEsol)

Data for Sc3C2 after structural relaxation.

The formation energy comes out at -0.48 eV per atom. The density of states at the Fermi level is 2.2 states/eV/f.u.

Cell: 3.3352 3.3352 8.3666 Å, 90.00 90.00 120.00°
Last column: nearest neighbours and their distance in Å.
Space group P-3m1 (No. 164)
Unique sites:
Sc: 0.0000 0.0000 0.0000  6 C 2.40
Sc: 0.3333 0.6667 0.2954  3 C 2.18
C: 0.3333 0.6667 0.8280  6 Sc 2.18-2.40